The following is a PBE calculation of crystalline LiTaIn4O8 at its relaxed geometry, from Alexandria via LeMat-Bulk.

Unit cell a=6.5004 b=6.5004 c=6.6285 alpha=60.64 beta=60.64 gamma=60.00
Atoms (fractional coordinates):
O 0.2250 0.7520 0.2710
In 0.6255 0.6255 0.1236
O 0.2683 0.2683 0.1952
O 0.7520 0.7520 0.2710
Li 0.9880 0.9880 0.0360
O 0.7595 0.7595 0.7215
O 0.7348 0.2527 0.7598
Ta 0.3822 0.3822 0.8534
O 0.7520 0.2250 0.2710
In 0.0057 0.0057 0.4926
O 0.2527 0.7348 0.7598
In 0.0057 0.4960 0.4926
O 0.2527 0.2527 0.7598
In 0.4960 0.0057 0.4926

Values from the calculation:
Formation energy without anion corrections   -1700 meV/atom
E   -88.19 eV/cell


The following is a PBE calculation of crystalline TcSb2TeN at its relaxed geometry, from Alexandria via LeMat-Bulk.

Unit cell a=5.1063 b=5.1063 c=5.0543 alpha=90.00 beta=90.00 gamma=90.00
Atoms (fractional coordinates):
Sb 0.5000 0.0000 0.0000
N 0.5000 0.5000 0.5000
Te 0.0000 0.0000 0.5000
Sb 0.0000 0.5000 0.0000
Tc 0.0000 0.0000 0.0000

Values from the calculation:
Distance to the lowest polymorph of the same formula   53.80 kJ/mol of atoms
Formation energy without anion corrections   1503 meV/atom
E   -22.56 eV/cell


The following is a PBE calculation of crystalline PmHg4Pb at its relaxed geometry, from Alexandria via LeMat-Bulk.

Unit cell a=6.0737 b=6.0737 c=6.0737 alpha=60.00 beta=60.00 gamma=60.00
Atoms (fractional coordinates):
Hg 0.6251 0.1248 0.6251
Hg 0.6251 0.6251 0.6251
Hg 0.1248 0.6251 0.6251
Pm 0.2500 0.2500 0.2500
Hg 0.6251 0.6251 0.1248
Pb 0.0000 0.0000 0.0000

Values from the calculation:
Distance to the lowest polymorph of the same formula   12.51 kJ/mol of atoms
Formation energy from the elements   -0.115 eV/atom
E   -10.35 eV/cell


The following is a PBE calculation of crystalline CaLaHg at its relaxed geometry, from Alexandria via LeMat-Bulk.

Unit cell a=5.5402 b=5.5480 c=7.0791 alpha=90.00 beta=90.00 gamma=119.95
Atoms (fractional coordinates):
La 0.3330 0.6660 0.7500
Hg 0.6660 0.3321 0.7500
Hg 0.3340 0.6679 0.2500
Ca 0.0000 0.0000 0.5000
La 0.6670 0.3340 0.2500
Ca 0.0000 0.0000 0.0000

Values from the calculation:
Distance to the lowest polymorph of the same formula   0.00 kJ/mol of atoms
Formation energy from the elements   -0.349 eV/atom
E   -16.56 eV/cell


The following is a PBE calculation of crystalline NpAu3 at its relaxed geometry, from Alexandria via LeMat-Bulk.

Unit cell a=4.4194 b=4.4194 c=4.4194 alpha=90.00 beta=90.00 gamma=90.00
Last column: magnetic moment on the atom in μB.
Atoms (fractional coordinates):
Au 0.0000 0.5000 0.5000  -0.01
Au 0.5000 0.5000 0.0000  -0.01
Au 0.5000 0.0000 0.5000  -0.01
Np 0.0000 0.0000 0.0000  3.89

Values from the calculation:
Formation energy from the elements   0.022 eV/atom
E   -22.68 eV/cell


The following is a PBE calculation of crystalline NbCdCo2 at its relaxed geometry, from Alexandria via LeMat-Bulk.

Unit cell a=6.7611 b=6.7611 c=5.5498 alpha=52.47 beta=52.47 gamma=90.00
Atoms (fractional coordinates):
Nb 0.5000 0.5000 0.0000
Nb 0.2500 0.7500 0.5000
Co 0.8750 0.8443 0.7500
Co 0.1557 0.6250 0.2500
Cd 0.0000 0.0000 0.0000
Cd 0.7500 0.2500 0.5000
Co 0.5943 0.1250 0.2500
Co 0.3750 0.4057 0.7500

Values from the calculation:
Formation energy from the elements   0.533 eV/atom
E   -46.13 eV/cell